Below is a relaxed structure of SmTm9Sc2, with properties calculated at the GGA-PBE level.

Results
DOS at the Fermi energy = 18.63 states/eV per cell
spin magnetization = 0.00 μB per atom
ΔH_f (0 K) = 0.0407 eV per atom

Cell lengths 4.899, 4.899, 14.687 Å; angles 90.00, 90.00, 90.00 degrees
Space group P4/mmm (No. 123)
Inequivalent atoms, fractional coordinates:
Sm: 0.000 0.000 0.000 (multiplicity 1)
Tm: 0.000 0.500 0.172 (multiplicity 4)
Tm: 0.000 0.500 0.500 (multiplicity 2)
Tm: 0.500 0.500 0.000 (multiplicity 1)
Tm: 0.500 0.500 0.337 (multiplicity 2)
Sc: 0.000 0.000 0.336 (multiplicity 2)